[1]
## CeCd12Hg6 (PBE-GGA)

Data for CeCd12Hg6 after structural relaxation.

abc: 8.024 8.024 8.024
angles: 103.19 103.19 103.19
Positions (direct):
Ce: 0.000 0.000 0.000
Cd: 0.001 0.267 0.733
Cd: 0.190 0.587 0.588
Cd: 0.267 0.733 0.001
Cd: 0.267 0.999 0.733
Cd: 0.412 0.810 0.413
Cd: 0.413 0.412 0.810
Cd: 0.587 0.588 0.190
Cd: 0.588 0.190 0.587
Cd: 0.733 0.001 0.267
Cd: 0.733 0.267 0.999
Cd: 0.810 0.413 0.412
Cd: 0.999 0.733 0.267
Hg: 0.166 0.425 0.168
Hg: 0.168 0.166 0.425
Hg: 0.425 0.168 0.166
Hg: 0.575 0.832 0.834
Hg: 0.832 0.834 0.575
Hg: 0.834 0.575 0.832

* crystal system: trigonal
* calculated formation energy: -0.04 eV/atom
* symmetry: No. 148
* polymorph energy (0 for the lowest one): 0 meV per atom
* V: 24.6 Å³ per atom

---

[2]
## LaPd3Pb (PBE-GGA)

Data for LaPd3Pb after structural relaxation.

abc: 5.076 5.076 5.076
angles: 90.00 90.00 90.00
Positions (direct):
La: 0.000 0.000 0.000
Pd: 0.000 0.500 0.500
Pd: 0.500 0.000 0.500
Pd: 0.500 0.500 0.000
Pb: 0.500 0.500 0.500

* crystal system: cubic
* calculated formation energy: -0.05 eV/atom
* symmetry: No. 221
* polymorph energy (0 for the lowest one): 335 meV per atom
* V: 26.2 Å³ per atom

---

[3]
## Pr2DyP3Rh12 (PBE-GGA)

Data for Pr2DyP3Rh12 after structural relaxation.

abc: 6.772 6.772 6.772
angles: 83.91 83.91 83.91
Positions (direct):
Pr: 0.126 0.126 0.126
Pr: 0.874 0.874 0.874
Dy: 0.500 0.500 0.500
P: 0.000 0.500 0.500
P: 0.500 0.000 0.500
P: 0.500 0.500 0.000
Rh: 0.136 0.136 0.587
Rh: 0.136 0.587 0.136
Rh: 0.165 0.676 0.676
Rh: 0.324 0.324 0.835
Rh: 0.324 0.835 0.324
Rh: 0.413 0.864 0.864
Rh: 0.587 0.136 0.136
Rh: 0.676 0.165 0.676
Rh: 0.676 0.676 0.165
Rh: 0.835 0.324 0.324
Rh: 0.864 0.413 0.864
Rh: 0.864 0.864 0.413

* crystal system: trigonal
* calculated formation energy: -0.32 eV/atom
* symmetry: No. 166
* V: 17.0 Å³ per atom

---

[4]
## CdAsCl (PBE-GGA)

Data for CdAsCl after structural relaxation.

abc: 6.858 6.858 6.858
angles: 90.00 90.00 90.00
Positions (direct):
Cd: 0.000 0.000 0.000
Cd: 0.000 0.500 0.500
Cd: 0.500 0.000 0.500
Cd: 0.500 0.500 0.000
As: 0.250 0.250 0.750
As: 0.250 0.750 0.250
As: 0.750 0.250 0.250
As: 0.750 0.750 0.750
Cl: 0.250 0.250 0.250
Cl: 0.250 0.750 0.750
Cl: 0.750 0.250 0.750
Cl: 0.750 0.750 0.250

* formation energy (no corrections): 0.217 eV per atom
* crystal system: cubic
* symmetry: No. 216
* polymorph energy (0 for the lowest one): 766 meV per atom
* V: 26.9 Å³ per atom